This record from Alexandria describes a geometry-optimized ReTe structure. The functional is PBE.

POSCAR file:
```
ReTe
1.0
11.377 0.000 0.000
0.000 3.914 0.000
0.000 0.000 6.036
Re Te
6 6
direct
0.824 0.998 0.434
0.676 0.002 0.934
0.176 0.998 0.434
0.324 0.002 0.934
0.000 0.630 0.459
0.500 0.370 0.959
0.828 0.483 0.765
0.672 0.517 0.265
0.172 0.483 0.765
0.328 0.517 0.265
0.000 0.153 0.146
0.500 0.847 0.646
```

The energy relative to the lowest polymorph listed for this composition is 314 meV/atom. The value obtained for the size of the total moment is 0.00 μB/cell. Its symmetry is Pmn2_1, No. 31. The value obtained for the energy relative to the elements, uncorrected is 0.643 eV/atom.